1.
This record from the Alexandria database describes a geometry-optimized LaAsCl structure. The functional is PBE.

Summary:
- formation energy without anion corrections (meV per atom) = -968
- distance to the lowest polymorph of the same formula (eV per atom) = 0.7086
- space-group type = F-43m

a = 4.822 Å, b = 4.822 Å, c = 4.822 Å
α = 60.00°, β = 60.00°, γ = 60.00°
Element x y z (fractional)
La: 0.000 0.000 0.000
As: 0.500 0.500 0.500
Cl: 0.750 0.750 0.750

***

2.
This record from the Alexandria database describes a geometry-optimized La2As2Cl structure. The functional is PBE.

Summary:
- formation energy without anion corrections (meV per atom) = -1581
- distance to the lowest polymorph of the same formula (eV per atom) = 0.0000
- space-group type = P4/mbm

a = 8.017 Å, b = 8.017 Å, c = 4.151 Å
α = 90.00°, β = 90.00°, γ = 90.00°
Element x y z (fractional)
Cl: 0.500 0.500 0.000
Cl: 0.000 0.000 0.000
La: 0.819 0.681 0.000
La: 0.319 0.819 0.000
La: 0.181 0.319 0.000
La: 0.681 0.181 0.000
As: 0.114 0.614 0.500
As: 0.386 0.114 0.500
As: 0.614 0.886 0.500
As: 0.886 0.386 0.500

***

3.
This record from the Alexandria database describes a geometry-optimized La2AsCl structure. The functional is PBE.

Summary:
- formation energy without anion corrections (meV per atom) = -1616
- space-group type = P4/mmm

a = 6.024 Å, b = 4.277 Å, c = 4.282 Å
α = 90.00°, β = 90.00°, γ = 90.00°
Element x y z (fractional)
La: 0.000 0.875 0.875
La: 0.500 0.375 0.375
Cl: 0.500 0.875 0.875
As: 0.000 0.375 0.375

***

4.
This record from the Alexandria database describes a geometry-optimized La4AsCl5 structure. The functional is PBE.

Summary:
- formation energy without anion corrections (meV per atom) = -1761
- distance to the lowest polymorph of the same formula (eV per atom) = 0.1910
- space-group type = Pmmn

a = 6.945 Å, b = 9.124 Å, c = 9.765 Å
α = 90.00°, β = 90.00°, γ = 90.00°
Element x y z (fractional)
Cl: 0.753 0.702 0.708
Cl: 0.753 0.298 0.292
Cl: 0.247 0.202 0.792
Cl: 0.247 0.202 0.208
Cl: 0.247 0.798 0.208
Cl: 0.753 0.702 0.292
Cl: 0.152 0.000 0.500
Cl: 0.753 0.298 0.708
Cl: 0.848 0.500 0.000
Cl: 0.247 0.798 0.792
La: 0.891 0.000 0.739
La: 0.474 0.205 0.500
La: 0.109 0.500 0.761
La: 0.109 0.500 0.239
La: 0.891 0.000 0.261
La: 0.474 0.795 0.500
La: 0.526 0.295 0.000
La: 0.526 0.705 0.000
As: 0.298 0.500 0.500
As: 0.702 0.000 0.000